Below is a relaxed LiTm4Ir2 crystal, with properties calculated at the PBE level.

a = 4.794 Å, b = 4.794 Å, c = 8.309 Å
α = 73.23°, β = 73.23°, γ = 60.00°
Element x y z (fractional)
1 Li 0.000 0.000 0.000
2 Tm 0.872 0.872 0.383
3 Tm 0.128 0.128 0.617
4 Tm 0.621 0.621 0.136
5 Tm 0.379 0.379 0.864
6 Ir 0.748 0.748 0.756
7 Ir 0.252 0.252 0.244

Results
offset from the most stable computed form	0.0	kJ/mol of atoms
energy of formation from the pure elements	-0.696	eV/atom